VASP calculation (PBE) on an optimized crystal structure of CdReP2.

* magnetization: 0.0 μB per formula unit
* electronic total energy: -6.010 eV per atom
* E_form: 0.036 eV per atom

Cell: 2.9651 2.9651 8.2547 Å, 90.00 90.00 90.00°
With the nearest neighbours (Å) after each atom.
Space group P4/mmm (No. 123)
Asymmetric unit:
1 Cd 0.0000 0.0000 0.0000 x1  4 Cd 2.97
2 Re 0.0000 0.0000 0.5000 x1  8 P 2.53
3 P 0.5000 0.5000 0.3284 x2  4 Re 2.53, 1 P 2.83